Computed, not measured: CeEuZnCo after structural relaxation at the PBE-GGA level of DFT.

The value obtained for the formation energy is -0.01 eV/atom. The value obtained for the electronic total energy is -6.1537 eV per atom. The value obtained for the density of states at the Fermi level is 29.25 states/eV per cell.

a b c (Å): 7.0740 7.0740 7.0740
angles (deg): 90.00 90.00 90.00
Space group F-43m (No. 216)
Symmetry-distinct sites (fractional):
Ce 0.0000 0.0000 0.0000 x4
Eu 0.0000 0.0000 0.5000 x4
Zn 0.2500 0.2500 0.7500 x4
Co 0.2500 0.2500 0.2500 x4